Rb4Pm3MoO8 | the Alexandria database | PBE+U | relaxed; total energy = -6.36 eV per atom
1.0
-2.7262 5.4841 -3.6419
0.2450 -4.1949 -6.5003
-3.5675 -2.7283 5.5324
Rb Pm Mo O
4 3 1 8
direct
0.5000 0.0000 0.0000
0.5000 0.0000 0.5000
0.0000 0.0000 0.0000
0.0000 0.0000 0.5000
0.5000 0.5000 0.0000
0.5000 0.5000 0.5000
0.0000 0.5000 0.5000
0.0000 0.5000 0.0000
0.2190 0.6774 0.9583
0.2191 0.6774 0.4382
0.2730 0.3190 0.5460
0.7393 0.6774 0.9583
0.2607 0.3226 0.0417
0.7270 0.6810 0.4540
0.7809 0.3226 0.5618
0.7810 0.3226 0.0417